(1)
Material: Tb3HoCd3
Method: DFT, PBE-GGA
State: relaxed

```
Tb3HoCd3
1.0
5.319 -5.356 0.000
5.319 5.356 0.000
0.000 0.000 6.988
Tb Ho Cd
6 2 6
Cartesian
2.515 0.000 0.000
2.528 0.000 3.494
5.319 2.789 0.000
5.319 -2.789 0.000
8.110 0.000 3.494
8.123 0.000 0.000
5.319 2.762 3.494
5.319 -2.762 3.494
2.660 2.678 1.756
2.660 2.678 5.233
2.660 -2.678 1.756
2.660 -2.678 5.233
5.319 0.000 1.735
5.319 0.000 5.253
```

Results
* Fermi-level density of states: 18.536 states/eV per cell
* final energy: -22.2 eV/f.u.
* V: 28.44 Å³/atom
* symmetry: Cmmm
* magnetic moment: 0.10 μB/f.u.
* energy of formation from the pure elements: -0.138 eV/atom

***

(2)
Material: Nd8Al2Pd
Method: DFT, PBE-GGA
State: relaxed

```
Nd8Al2Pd
1.0
9.495 -2.580 0.000
9.495 2.580 0.000
-1.516 0.000 6.731
Nd Al Pd
8 2 1
Cartesian
-0.023 0.000 1.851
2.742 0.000 5.381
5.783 0.000 3.560
7.643 0.000 0.256
9.830 0.000 6.476
11.690 0.000 3.171
14.731 0.000 1.350
17.496 0.000 4.880
3.182 0.000 1.655
14.291 0.000 5.076
8.736 0.000 3.366
```

Results
* polymorph energy (0 for the lowest one): 0.000 eV per atom
* Fermi-level density of states: 10.708 states/eV per cell
* final energy: -53.6 eV/f.u.
* V: 29.98 Å³/atom
* symmetry: C2/m
* magnetic moment: 0.00 μB/f.u.
* energy of formation from the pure elements: -0.248 eV/atom

***

(3)
Material: Hf4C2Se5
Method: DFT, PBE-GGA
State: relaxed

```
Hf4C2Se5
1.0
-1.791 3.616 8.634
1.791 -3.616 8.634
1.791 3.616 -8.634
Hf C Se
4 2 5
Cartesian
0.000 0.000 2.742
1.791 1.519 0.000
0.000 2.097 8.634
0.000 0.000 14.527
0.000 0.000 0.694
0.000 0.000 16.574
1.791 1.946 -2.791
1.791 1.946 2.791
0.000 3.616 0.000
0.000 1.670 5.843
0.000 1.670 11.425
```

Results
* Fermi-level density of states: 2.626 states/eV per cell
* final energy: -86.3 eV/f.u.
* V: 20.34 Å³/atom
* symmetry: Immm
* magnetic moment: 0.00 μB/f.u.

***

(4)
Material: CrSbCl2
Method: DFT, PBE-GGA
State: relaxed

```
CrSbCl2
1.0
-1.663 2.622 7.182
1.663 -2.622 7.182
1.663 2.622 -7.182
Cr Sb Cl
1 1 2
Cartesian
0.000 0.000 0.000
0.000 2.622 4.841
1.663 0.000 1.597
0.000 0.000 5.533
```

Results
* polymorph energy (0 for the lowest one): 0.058 eV per atom
* Fermi-level density of states: 0.706 states/eV per cell
* final energy: -18.8 eV/f.u.
* V: 31.31 Å³/atom
* symmetry: Imm2
* magnetic moment: 3.87 μB/f.u.

***

(5)
Material: As3RuPt
Method: DFT, PBE-GGA
State: relaxed

```
As3RuPt
1.0
4.711 0.000 0.000
0.000 4.711 0.000
0.000 0.000 4.711
As Ru Pt
3 1 1
Cartesian
0.000 0.000 2.355
0.000 2.355 0.000
2.355 0.000 0.000
0.000 0.000 0.000
2.355 2.355 2.355
```

Results
* polymorph energy (0 for the lowest one): 0.000 eV per atom
* Fermi-level density of states: 3.813 states/eV per cell
* final energy: -25.9 eV/f.u.
* V: 20.91 Å³/atom
* symmetry: Pm-3m
* magnetic moment: 0.00 μB/f.u.
* energy of formation from the pure elements: 0.663 eV/atom

***

(6)
Material: Tl4HgICl2
Method: DFT, PBE-GGA
State: relaxed

```
Tl4HgICl2
1.0
7.902 0.000 0.000
0.000 4.403 0.000
-2.337 0.000 8.381
Tl Hg I Cl
4 1 1 2
Cartesian
1.245 0.000 2.165
0.244 2.201 6.010
5.321 2.201 2.371
4.320 0.000 6.217
0.000 2.201 0.000
3.951 0.000 0.000
-1.168 0.000 4.191
2.783 2.201 4.191
```

Results
* Fermi-level density of states: 3.190 states/eV per cell
* final energy: -19.6 eV/f.u.
* V: 36.45 Å³/atom
* symmetry: P2/m
* magnetic moment: 0.00 μB/f.u.